14
Lattice="5.947 0.000 0.000 -2.973 5.150 0.000 0.000 0.000 7.639" Properties=species:S:1:pos:R:3 comment="Ba3MnAs2O8 | Alexandria via LeMat-Bulk | PBE with a Hubbard U | optimized geometry" total_magnetization_mub_per_cell=3.63 mass_density_g_cm3=5.29 e_tot_ev_per_atom=-6.3525 pbc="T T T"
O 2.973 1.717 0.156
Mn 0.000 0.000 3.820
O 2.973 3.432 5.190
O 1.485 4.291 2.449
O -1.485 4.291 2.449
As 0.000 3.433 1.647
O 1.488 0.859 5.190
As 2.973 1.717 5.992
Ba 0.000 0.000 0.000
O 4.459 0.859 5.190
Ba 0.000 3.433 4.963
O 0.000 3.433 7.483
O 0.000 1.718 2.449
Ba 2.973 1.717 2.676